(1)
A relaxed structure of Y2TaSbN, computed with PBE-GGA.

```
data_Y2TaSbN
_cell_length_a 5.511
_cell_length_b 5.511
_cell_length_c 5.179
_cell_angle_alpha 90.00
_cell_angle_beta 90.00
_cell_angle_gamma 90.00
_symmetry_space_group_name_H-M 'P 4/m m m'
_symmetry_Int_Tables_number 123
_symmetry_space_group_name_Hall '-P 4 2'
loop_
_atom_site_label
_atom_site_type_symbol
_atom_site_fract_x
_atom_site_fract_y
_atom_site_fract_z
Y1 Y 0.000 0.500 0.000
Ta1 Ta 0.000 0.000 0.000
Sb1 Sb 0.000 0.000 0.500
N1 N 0.500 0.500 0.500
```

Properties
* E: -6.14 eV/atom

***

(2)
A relaxed structure of AlRh, computed with PBE-GGA.

```
data_AlRh
_cell_length_a 2.943
_cell_length_b 4.568
_cell_length_c 4.244
_cell_angle_alpha 90.00
_cell_angle_beta 90.00
_cell_angle_gamma 90.00
_symmetry_space_group_name_H-M 'P m m n'
_symmetry_Int_Tables_number 59
loop_
_symmetry_equiv_pos_as_xyz
'x,y,z'
'-x,-y,-z'
'-x+1/2,-y+1/2,z'
'x+1/2,y+1/2,-z'
'x+1/2,-y,-z'
'-x+1/2,y,z'
'-x,y+1/2,-z'
'x,-y+1/2,z'
loop_
_atom_site_label
_atom_site_type_symbol
_atom_site_fract_x
_atom_site_fract_y
_atom_site_fract_z
Al1 Al 0.250 0.250 0.110
Rh1 Rh 0.250 0.750 0.384
```

Properties
* E: -6.30 eV/atom
* formation energy from the elements: -1.5 eV per formula unit

***

(3)
A relaxed structure of ScFe2Ag, computed with PBE-GGA.

```
data_ScFe2Ag
_cell_length_a 2.9587
_cell_length_b 2.9587
_cell_length_c 25.6188
_cell_angle_alpha 90.00
_cell_angle_beta 90.00
_cell_angle_gamma 120.00
_symmetry_space_group_name_H-M 'R 3 m'
_symmetry_Int_Tables_number 160
_symmetry_space_group_name_Hall 'R 3 -2"'
loop_
_atom_site_label
_atom_site_type_symbol
_atom_site_fract_x
_atom_site_fract_y
_atom_site_fract_z
Sc1 Sc 0.0000 0.0000 0.0000
Fe1 Fe 0.0000 0.0000 0.2513
Fe2 Fe 0.0000 0.0000 0.5173
Ag1 Ag 0.0000 0.0000 0.7640
```

Properties
* E: -6.26 eV/atom
* formation energy from the elements: 1.0 eV per formula unit

***

(4)
A relaxed structure of Sc2CuSe, computed with PBE-GGA.

```
data_Sc2CuSe
_cell_length_a 3.772
_cell_length_b 3.821
_cell_length_c 5.486
_cell_angle_alpha 90.00
_cell_angle_beta 110.11
_cell_angle_gamma 90.00
_symmetry_space_group_name_H-M 'P 1 m 1'
_symmetry_Int_Tables_number 6
loop_
_symmetry_equiv_pos_as_xyz
'x,y,z'
'x,-y,z'
loop_
_atom_site_label
_atom_site_type_symbol
_atom_site_fract_x
_atom_site_fract_y
_atom_site_fract_z
Sc1 Sc 0.000 0.000 0.000
Sc2 Sc 0.293 0.500 0.584
Cu1 Cu 0.740 0.000 0.476
Se1 Se 0.564 0.500 0.128
```

Properties
* E: -5.87 eV/atom

***

(5)
A relaxed structure of HoGa2Ni5, computed with PBE-GGA.

```
data_HoGa2Ni5
_cell_length_a 3.619
_cell_length_b 6.634
_cell_length_c 9.458
_cell_angle_alpha 90.00
_cell_angle_beta 90.00
_cell_angle_gamma 90.00
_symmetry_space_group_name_H-M 'I m m m'
_symmetry_Int_Tables_number 71
_symmetry_space_group_name_Hall '-I 2 2'
loop_
_atom_site_label
_atom_site_type_symbol
_atom_site_fract_x
_atom_site_fract_y
_atom_site_fract_z
Ho1 Ho 0.000 0.000 0.000
Ga1 Ga 0.000 0.500 0.248
Ni1 Ni 0.000 0.189 0.367
Ni2 Ni 0.000 0.500 0.000
```

Properties
* E: -5.31 eV/atom
* formation energy from the elements: -3.0 eV per formula unit

***

(6)
A relaxed structure of ReTe2Mo, computed with PBE-GGA.

```
data_ReTe2Mo
_cell_length_a 3.295
_cell_length_b 5.525
_cell_length_c 8.724
_cell_angle_alpha 90.00
_cell_angle_beta 90.00
_cell_angle_gamma 90.00
_symmetry_space_group_name_H-M 'C m m m'
_symmetry_Int_Tables_number 65
_symmetry_space_group_name_Hall '-C 2 2'
loop_
_atom_site_label
_atom_site_type_symbol
_atom_site_fract_x
_atom_site_fract_y
_atom_site_fract_z
Re1 Re 0.000 0.000 0.000
Te1 Te 0.000 0.500 0.249
Mo1 Mo 0.000 0.000 0.500
```

Properties
* E: -6.28 eV/atom
* energy above the most stable polymorph in this dataset: 907.4 meV per atom

***

(7)
A relaxed structure of Tb4ErCd2, computed with PBE-GGA.

```
data_Tb4ErCd2
_cell_length_a 5.1382
_cell_length_b 5.1382
_cell_length_c 30.2264
_cell_angle_alpha 90.00
_cell_angle_beta 90.00
_cell_angle_gamma 120.00
_symmetry_space_group_name_H-M 'R -3 m'
_symmetry_Int_Tables_number 166
_symmetry_space_group_name_Hall '-R 3 2"'
loop_
_atom_site_label
_atom_site_type_symbol
_atom_site_fract_x
_atom_site_fract_y
_atom_site_fract_z
Tb1 Tb 0.0000 0.0000 0.1090
Tb2 Tb 0.0000 0.0000 0.2959
Er1 Er 0.0000 0.0000 0.5000
Cd1 Cd 0.0000 0.0000 0.4000
```

Properties
* E: -3.34 eV/atom
* formation energy from the elements: 1.5 eV per formula unit

***

(8)
A relaxed structure of PuMgZn17, computed with PBE-GGA.

```
data_PuMgZn17
_cell_length_a 8.9830
_cell_length_b 8.9830
_cell_length_c 13.2180
_cell_angle_alpha 90.00
_cell_angle_beta 90.00
_cell_angle_gamma 120.00
_symmetry_space_group_name_H-M 'R 3 m'
_symmetry_Int_Tables_number 160
_symmetry_space_group_name_Hall 'R 3 -2"'
loop_
_atom_site_label
_atom_site_type_symbol
_atom_site_fract_x
_atom_site_fract_y
_atom_site_fract_z
Pu1 Pu 0.0000 0.0000 0.0000
Mg1 Mg 0.0000 0.0000 0.7061
Zn1 Zn 0.0000 0.0000 0.2405
Zn2 Zn 0.0000 0.0000 0.4467
Zn3 Zn 0.0051 0.3040 0.3380
Zn4 Zn 0.0104 0.5052 0.8337
Zn5 Zn 0.0108 0.5054 0.4924
Zn6 Zn 0.1684 0.3367 0.5220
```

Properties
* E: -2.06 eV/atom
* formation energy from the elements: -1.5 eV per formula unit

***

(9)
A relaxed structure of SmY2Ni6, computed with PBE-GGA.

```
data_SmY2Ni6
_cell_length_a 6.9561
_cell_length_b 6.9561
_cell_length_c 3.7792
_cell_angle_alpha 90.00
_cell_angle_beta 90.00
_cell_angle_gamma 120.00
_symmetry_space_group_name_H-M 'P 6/m m m'
_symmetry_Int_Tables_number 191
_symmetry_space_group_name_Hall '-P 6 2'
loop_
_atom_site_label
_atom_site_type_symbol
_atom_site_fract_x
_atom_site_fract_y
_atom_site_fract_z
Sm1 Sm 0.0000 0.0000 0.0000
Y1 Y 0.3333 0.6667 0.0000
Ni1 Ni 0.0000 0.3342 0.5000
```

Properties
* E: -6.18 eV/atom
* formation energy from the elements: -3.3 eV per formula unit

***

(10)
A relaxed structure of TeAsI2F, computed with PBE-GGA.

```
data_TeAsI2F
_cell_length_a 5.598
_cell_length_b 5.598
_cell_length_c 5.614
_cell_angle_alpha 90.00
_cell_angle_beta 90.00
_cell_angle_gamma 90.00
_symmetry_space_group_name_H-M 'P 4/m m m'
_symmetry_Int_Tables_number 123
_symmetry_space_group_name_Hall '-P 4 2'
loop_
_atom_site_label
_atom_site_type_symbol
_atom_site_fract_x
_atom_site_fract_y
_atom_site_fract_z
Te1 Te 0.000 0.000 0.000
As1 As 0.000 0.000 0.500
I1 I 0.000 0.500 0.500
F1 F 0.500 0.500 0.000
```

Properties
* E: -2.35 eV/atom
* energy above the most stable polymorph in this dataset: 0.0 meV per atom

***

(11)
A relaxed structure of SrAuC2, computed with PBE-GGA.

```
data_SrAuC2
_cell_length_a 4.310
_cell_length_b 4.766
_cell_length_c 9.915
_cell_angle_alpha 77.57
_cell_angle_beta 77.63
_cell_angle_gamma 64.29
_symmetry_space_group_name_H-M 'P -1'
_symmetry_Int_Tables_number 2
loop_
_symmetry_equiv_pos_as_xyz
'x,y,z'
'-x,-y,-z'
loop_
_atom_site_label
_atom_site_type_symbol
_atom_site_fract_x
_atom_site_fract_y
_atom_site_fract_z
Sr1 Sr 0.098 0.020 0.272
Au1 Au 0.350 0.320 0.472
C1 C 0.075 0.412 0.947
C2 C 0.214 0.250 0.848
```

Properties
* E: -5.80 eV/atom
* energy above the most stable polymorph in this dataset: 133.5 meV per atom
* formation energy from the elements: 0.2 eV per formula unit

***

(12)
A relaxed structure of EuScInGa, computed with PBE-GGA.

```
data_EuScInGa
_cell_length_a 7.312
_cell_length_b 7.312
_cell_length_c 7.312
_cell_angle_alpha 90.00
_cell_angle_beta 90.00
_cell_angle_gamma 90.00
_symmetry_space_group_name_H-M 'F -4 3 m'
_symmetry_Int_Tables_number 216
_symmetry_space_group_name_Hall 'F -4 2 3'
loop_
_atom_site_label
_atom_site_type_symbol
_atom_site_fract_x
_atom_site_fract_y
_atom_site_fract_z
Eu1 Eu 0.000 0.000 0.000
Sc1 Sc 0.000 0.000 0.500
In1 In 0.250 0.250 0.750
Ga1 Ga 0.250 0.250 0.250
```

Properties
* E: -6.00 eV/atom
* formation energy from the elements: -1.6 eV per formula unit

***

E of number 10 (TeAsI2F)? -2.35 eV/atom